Entry 1:
Here is crystalline Cu6RhAu at its relaxed geometry from Alexandria via LeMat-Bulk. Energies are from GGA-PBE.

## Properties
The calculation puts the density at 10813 kg/m³. The calculation puts the formation energy from the elements at -0.223 kcal/mol of atoms. The calculated total energy is -4.410 eV per atom. Its space group is P4/mmm, No. 123.

Unit cell a=3.7358 b=3.7358 c=7.4950 alpha=90.00 beta=90.00 gamma=90.00
Fractional positions:
1 Cu 0.5000 0.5000 0.5000
2 Cu 0.0000 0.5000 0.2571
3 Cu 0.5000 0.5000 0.0000
4 Cu 0.0000 0.5000 0.7429
5 Cu 0.5000 0.0000 0.2571
6 Cu 0.5000 0.0000 0.7429
7 Rh 0.0000 0.0000 0.5000
8 Au 0.0000 0.0000 0.0000

=====

Entry 2:
Here is crystalline BaVAu2 at its relaxed geometry from Alexandria via LeMat-Bulk. Energies are from GGA-PBE.

## Properties
The calculation puts the density at 9435 kg/m³. The calculation puts the formation energy from the elements at 2.283 kcal/mol of atoms. The calculated total energy is -4.300 eV per atom. Its space group is Fm-3m, No. 225. Its excess energy over the best structure of this formula in the dataset is 0.018 eV per atom.

Unit cell a=5.2524 b=5.2524 c=5.2524 alpha=60.00 beta=60.00 gamma=60.00
Fractional positions:
1 Ba 0.5000 0.5000 0.5000
2 Au 0.7500 0.7500 0.7500
3 Au 0.2500 0.2500 0.2500
4 V 0.0000 0.0000 0.0000

=====

Entry 3:
Here is crystalline CePaPb2 at its relaxed geometry from Alexandria via LeMat-Bulk. Energies are from GGA-PBE.

## Properties
The calculation puts the density at 11568 kg/m³. The calculation puts the formation energy from the elements at -2.846 kcal/mol of atoms. The calculated total energy is -5.835 eV per atom. Its space group is P4/mmm, No. 123. Its excess energy over the best structure of this formula in the dataset is 0.000 eV per atom.

Unit cell a=3.5003 b=3.5003 c=9.2037 alpha=90.00 beta=90.00 gamma=90.00
Fractional positions:
1 Ce 0.5000 0.5000 0.5000
2 Pb 0.0000 0.0000 0.2466
3 Pb 0.0000 0.0000 0.7534
4 Pa 0.5000 0.5000 0.0000

=====

Entry 4:
Here is crystalline NaYCd6 at its relaxed geometry from Alexandria via LeMat-Bulk. Energies are from GGA-PBE.

## Properties
The calculation puts the density at 6875 kg/m³. The calculation puts the formation energy from the elements at -4.254 kcal/mol of atoms. The calculated total energy is -1.844 eV per atom. Its space group is P-6m2, No. 187.

Unit cell a=5.0394 b=6.5978 c=6.5978 alpha=120.02 beta=90.00 gamma=90.00
Fractional positions:
1 Y 0.0000 0.0831 0.9169
2 Cd 0.5000 0.9128 0.5755
3 Cd 0.5000 0.9124 0.0876
4 Cd 0.0000 0.5875 0.4125
5 Cd 0.0000 0.0755 0.4130
6 Cd 0.5000 0.4245 0.0872
7 Cd 0.0000 0.5870 0.9245
8 Na 0.5000 0.4169 0.5831